Version a
The following is a SCAN calculation of a PBEsol-optimized structure of Na2MgSb2, from Alexandria.

a b c (Å): 3.183 9.008 9.008
angles (deg): 90.00 90.00 90.00
Element x y z (fractional)
Na 0.000 0.886 0.614
Na 0.000 0.386 0.886
Na 0.000 0.614 0.114
Na 0.000 0.114 0.386
Mg 0.000 0.000 0.000
Mg 0.000 0.500 0.500
Sb 0.500 0.686 0.814
Sb 0.500 0.814 0.314
Sb 0.500 0.314 0.186
Sb 0.500 0.186 0.686

Calculated values
- symmetry = No. 127
- total magnetic moment (Bohr magnetons per cell) = 0.00
- density (g/cm³) = 4.0

Version b
The following is a SCAN calculation of a PBEsol-optimized structure of Na2MgSb2, from Alexandria.

a b c (Å): 5.025 7.431 7.431
angles (deg): 90.00 90.00 90.00
Element x y z (fractional)
Sb 0.000 0.862 0.638
Sb 0.000 0.638 0.138
Sb 0.000 0.362 0.862
Sb 0.000 0.138 0.362
Na 0.500 0.665 0.835
Na 0.500 0.835 0.335
Na 0.500 0.165 0.665
Na 0.500 0.335 0.165
Mg 0.000 0.000 0.000
Mg 0.000 0.500 0.500

Calculated values
- symmetry = No. 127
- total magnetic moment (Bohr magnetons per cell) = 0.00
- density (g/cm³) = 3.8

What should be chosen as the most stable of them? Choose version b.

Version a
The following is a SCAN calculation of a PBEsol-optimized structure of MgTiNb2Pb4O12, from Alexandria.

a b c (Å): 8.115 8.138 9.818
angles (deg): 65.42 65.46 89.46
Element x y z (fractional)
O 0.094 0.342 0.281
O 0.342 0.591 0.763
O 0.600 0.826 0.760
O 0.984 0.954 0.508
O 0.586 0.359 0.264
O 0.357 0.095 0.778
O 0.593 0.350 0.776
O 0.956 0.480 0.510
O 0.701 0.727 0.022
O 0.866 0.603 0.250
O 0.847 0.582 0.782
O 0.113 0.848 0.249
O 0.584 0.831 0.282
O 0.114 0.341 0.752
O 0.834 0.114 0.750
O 0.462 0.969 0.523
O 0.238 0.693 0.023
O 0.353 0.089 0.258
O 0.862 0.073 0.269
O 0.104 0.828 0.789
O 0.740 0.202 0.007
O 0.481 0.452 0.523
O 0.213 0.227 0.010
O 0.334 0.583 0.292
Nb 0.113 0.117 0.265
Nb 0.358 0.869 0.765
Nb 0.877 0.357 0.761
Nb 0.626 0.604 0.262
Pb 0.265 0.764 0.500
Pb 0.759 0.243 0.524
Pb 0.017 0.514 0.994
Pb 0.277 0.258 0.493
Pb 0.991 0.006 0.029
Pb 0.524 0.999 0.010
Pb 0.753 0.764 0.513
Pb 0.520 0.510 0.999
Ti 0.124 0.619 0.262
Ti 0.375 0.367 0.763
Mg 0.865 0.857 0.764
Mg 0.613 0.108 0.263

Calculated values
- symmetry = No. 1
- total magnetic moment (Bohr magnetons per cell) = 0.00
- density (g/cm³) = 8.1

Version b
The following is a SCAN calculation of a PBEsol-optimized structure of MgTiNb2Pb4O12, from Alexandria.

a b c (Å): 5.700 5.801 7.954
angles (deg): 90.00 90.00 90.00
Element x y z (fractional)
O 0.500 0.962 0.745
O 0.755 0.210 0.000
O 0.000 0.445 0.742
O 0.000 0.445 0.258
O 0.257 0.721 0.500
O 0.752 0.209 0.500
O 0.245 0.210 0.000
O 0.269 0.717 0.000
O 0.248 0.209 0.500
O 0.743 0.721 0.500
O 0.731 0.717 0.000
O 0.500 0.962 0.255
Mg 0.000 0.490 0.000
Pb 0.000 0.040 0.245
Pb 0.500 0.535 0.230
Pb 0.000 0.040 0.755
Pb 0.500 0.535 0.770
Ti 0.500 0.013 0.500
Nb 0.000 0.513 0.500
Nb 0.500 0.989 0.000

Calculated values
- symmetry = No. 25
- total magnetic moment (Bohr magnetons per cell) = 0.00
- density (g/cm³) = 8.1

What should be chosen as the most stable of them? Choose version a.

Version a
The following is a SCAN calculation of a PBEsol-optimized structure of Nd5Mg, from Alexandria.

a b c (Å): 6.212 6.212 6.673
angles (deg): 62.26 62.26 60.00
Element x y z (fractional)
Nd 0.841 0.841 0.476
Nd 0.369 0.631 0.000
Nd 0.159 0.159 0.524
Nd 0.000 0.369 0.000
Nd 0.631 0.000 0.000
Mg 0.500 0.500 0.500

Calculated values
- symmetry = No. 155
- total magnetic moment (Bohr magnetons per cell) = 0.12
- density (g/cm³) = 6.6

Version b
The following is a SCAN calculation of a PBEsol-optimized structure of Nd5Mg, from Alexandria.

a b c (Å): 3.647 5.759 9.183
angles (deg): 90.00 101.45 90.00
Element x y z (fractional)
Nd 0.877 0.500 0.754
Nd 0.008 0.000 0.015
Nd 0.336 0.000 0.672
Nd 0.553 0.500 0.106
Nd 0.676 0.000 0.351
Mg 0.216 0.500 0.433

Calculated values
- symmetry = No. 38
- total magnetic moment (Bohr magnetons per cell) = 0.15
- density (g/cm³) = 6.5

What should be chosen as the most stable of them? Choose version a.

Version a
The following is a SCAN calculation of a PBEsol-optimized structure of Nd2MgSe4, from Alexandria.

a b c (Å): 8.368 8.368 8.368
angles (deg): 60.00 60.00 60.00
Element x y z (fractional)
Mg 0.000 0.000 0.000
Mg 0.250 0.250 0.250
Se 0.378 0.378 0.867
Se 0.872 0.872 0.383
Se 0.867 0.378 0.378
Se 0.872 0.383 0.872
Se 0.872 0.872 0.872
Se 0.378 0.867 0.378
Se 0.383 0.872 0.872
Se 0.378 0.378 0.378
Nd 0.625 0.625 0.125
Nd 0.625 0.125 0.625
Nd 0.625 0.625 0.625
Nd 0.125 0.625 0.625

Calculated values
- symmetry = No. 227
- total magnetic moment (Bohr magnetons per cell) = 0.00
- density (g/cm³) = 5.0

Version b
The following is a SCAN calculation of a PBEsol-optimized structure of Nd2MgSe4, from Alexandria.

a b c (Å): 7.553 7.553 7.553
angles (deg): 106.68 110.88 110.88
Element x y z (fractional)
Se 0.879 0.769 0.505
Se 0.379 0.255 0.019
Se 0.237 0.981 0.360
Se 0.263 0.495 0.374
Se 0.621 0.640 0.876
Se 0.763 0.124 0.745
Se 0.737 0.110 0.231
Se 0.121 0.626 0.890
Mg 0.500 0.750 0.250
Mg 0.000 0.000 0.000
Nd 0.126 0.251 0.625
Nd 0.626 0.375 0.501
Nd 0.874 0.499 0.125
Nd 0.374 0.875 0.749

Calculated values
- symmetry = No. 122
- total magnetic moment (Bohr magnetons per cell) = 0.00
- density (g/cm³) = 6.3

What should be chosen as the most stable of them? Choose version a.

Version a
The following is a SCAN calculation of a PBEsol-optimized structure of Mg2ReNi, from Alexandria.

a b c (Å): 2.619 5.144 5.144
angles (deg): 116.71 100.02 100.02
Element x y z (fractional)
Ni 0.500 0.000 0.000
Re 0.500 0.500 0.500
Mg 0.000 0.500 0.000
Mg 0.000 0.000 0.500

Calculated values
- symmetry = No. 12
- total magnetic moment (Bohr magnetons per cell) = 0.00
- density (g/cm³) = 8.3

Version b
The following is a SCAN calculation of a PBEsol-optimized structure of Mg2ReNi, from Alexandria.

a b c (Å): 2.735 4.659 4.659
angles (deg): 90.00 90.00 90.00
Element x y z (fractional)
Mg 0.000 0.500 0.000
Mg 0.000 0.000 0.500
Re 0.500 0.000 0.000
Ni 0.500 0.500 0.500

Calculated values
- symmetry = No. 123
- total magnetic moment (Bohr magnetons per cell) = 0.00
- density (g/cm³) = 8.2

What should be chosen as the most stable of them? Choose version a.

Version a
The following is a SCAN calculation of a PBEsol-optimized structure of MgNiTe2, from Alexandria.

a b c (Å): 3.859 3.859 7.052
angles (deg): 74.12 74.12 60.00
Element x y z (fractional)
Te 0.736 0.736 0.793
Te 0.264 0.264 0.207
Ni 0.000 0.000 0.000
Mg 0.500 0.500 0.500

Calculated values
- symmetry = No. 166
- total magnetic moment (Bohr magnetons per cell) = 0.00
- density (g/cm³) = 6.5

Version b
The following is a SCAN calculation of a PBEsol-optimized structure of MgNiTe2, from Alexandria.

a b c (Å): 3.589 3.589 6.928
angles (deg): 90.00 90.00 90.00
Each line ends with the local moment (μB).
Element x y z (fractional)
Ni 0.500 0.500 0.742  0.62
Te 0.500 0.500 0.346  0.03
Te 0.000 0.000 0.900  0.01
Mg 0.000 0.000 0.512  0.00

Calculated values
- symmetry = No. 99
- total magnetic moment (Bohr magnetons per cell) = 0.66
- density (g/cm³) = 6.3

What should be chosen as the most stable of them? Choose version a.

Version a
The following is a SCAN calculation of a PBEsol-optimized structure of MgNiTe2, from Alexandria.

a b c (Å): 3.515 3.872 6.868
angles (deg): 106.37 104.83 90.00
Element x y z (fractional)
Te 0.277 0.777 0.554
Te 0.059 0.059 0.119
Mg 0.449 0.449 0.899
Ni 0.714 0.214 0.429

Calculated values
- symmetry = No. 44
- total magnetic moment (Bohr magnetons per cell) = 0.00
- density (g/cm³) = 6.5

Version b
The following is a SCAN calculation of a PBEsol-optimized structure of MgNiTe2, from Alexandria.

a b c (Å): 4.847 4.892 4.847
angles (deg): 60.31 90.00 119.69
Element x y z (fractional)
Te 0.250 0.500 0.250
Te 0.750 0.500 0.750
Mg 0.500 0.000 0.500
Ni 0.000 0.000 0.000

Calculated values
- symmetry = No. 139
- total magnetic moment (Bohr magnetons per cell) = 0.00
- density (g/cm³) = 6.8

What should be chosen as the most stable of them? Choose version a.

Version a
The following is a SCAN calculation of a PBEsol-optimized structure of Rb2MgO2, from Alexandria.

a b c (Å): 5.507 6.255 6.848
angles (deg): 117.18 113.71 90.00
Element x y z (fractional)
Rb 0.655 0.518 0.310
Rb 0.845 0.208 0.690
Rb 0.155 0.792 0.310
Rb 0.345 0.482 0.690
O 0.408 0.081 0.817
O 0.592 0.919 0.183
O 0.908 0.736 0.817
O 0.092 0.264 0.183
Mg 0.250 0.000 0.000
Mg 0.750 0.000 0.000

Calculated values
- symmetry = No. 72
- total magnetic moment (Bohr magnetons per cell) = 0.00
- density (g/cm³) = 4.0

Version b
The following is a SCAN calculation of a PBEsol-optimized structure of Rb2MgO2, from Alexandria.

a b c (Å): 6.384 9.704 13.878
angles (deg): 97.25 90.00 90.00
Each line ends with the local moment (μB).
Element x y z (fractional)
Rb 0.438 0.449 0.876  0.00
Rb 0.421 0.082 0.765  0.00
Rb 0.562 0.551 0.124  0.00
Rb 0.938 0.051 0.624  0.00
Rb 0.838 0.315 0.466  0.00
Rb 0.620 0.749 0.669  0.00
Rb 0.380 0.251 0.331  0.00
Rb 0.579 0.918 0.235  0.00
Rb 0.079 0.582 0.265  0.00
Rb 0.662 0.815 0.966  0.00
Rb 0.338 0.185 0.034  0.00
Rb 0.921 0.418 0.735  0.00
Rb 0.120 0.751 0.831  0.00
Rb 0.062 0.949 0.376  0.00
Rb 0.162 0.685 0.534  0.00
Rb 0.880 0.249 0.169  0.00
O 0.728 0.235 0.977  0.02
O 0.395 0.743 0.358  0.02
O 0.191 0.056 0.195  0.07
O 0.370 0.942 0.575  0.03
O 0.272 0.765 0.023  0.02
O 0.105 0.243 0.858  0.02
O 0.130 0.442 0.075  0.03
O 0.228 0.265 0.523  0.02
O 0.895 0.757 0.142  0.02
O 0.870 0.558 0.925  0.03
O 0.630 0.058 0.425  0.03
O 0.772 0.735 0.477  0.02
O 0.691 0.444 0.305  0.07
O 0.809 0.944 0.805  0.07
O 0.309 0.556 0.695  0.07
O 0.605 0.257 0.642  0.02
Mg 0.453 0.127 0.540  0.00
Mg 0.378 0.383 0.624  0.00
Mg 0.953 0.373 0.960  0.00
Mg 0.122 0.883 0.124  0.00
Mg 0.547 0.873 0.460  0.00
Mg 0.622 0.617 0.376  0.00
Mg 0.047 0.627 0.040  0.00
Mg 0.878 0.117 0.876  0.00

Calculated values
- symmetry = No. 14
- total magnetic moment (Bohr magnetons per cell) = 0.64
- density (g/cm³) = 3.5

What should be chosen as the most stable of them? Choose version a.